RhSIN2 | Alexandria via LeMat-Bulk | PBE | optimized geometry; space-group type = P4/mmm; volume = 104.1 Å³/f.u.; ΔE to the lowest computed polymorph = 10.50 kcal/mol of atoms; spin magnetization = 0.00 μB/f.u.
1.0
3.595 0.000 0.000
0.000 3.595 0.000
0.000 0.000 8.056
I S Rh N
1 1 1 2
Direct
0.000 0.000 0.500 I
0.000 0.000 0.000 S
0.500 0.500 0.500 Rh
0.000 0.500 0.000 N
0.500 0.000 0.000 N